Here is a PBEsol-optimized structure of RbPRuPt2 from Alexandria. Energies are from meta-GGA SCAN.

It has space group P4/mmm (No. 123), with a = 4.8405 Å, b = 4.8405 Å, c = 5.0030 Å, α = 90.00°, β = 90.00° and γ = 90.00°. The asymmetric unit holds Rb at (0.0000, 0.0000, 0.0000), P at (0.0000, 0.0000, 0.5000), Ru at (0.5000, 0.5000, 0.5000) and Pt at (0.0000, 0.5000, 0.0000).

The total moment comes out at 2.86 μB/f.u. The formation energy comes out at 1435 kJ/mol of formula units. As for the total energy: -38.296 eV/atom.

---

Here is a PBEsol-optimized structure of Re2PPt from Alexandria. Energies are from meta-GGA SCAN.

It has space group F-43m (No. 216), with a = 6.1508 Å, b = 6.1508 Å, c = 6.1508 Å, α = 90.00°, β = 90.00° and γ = 90.00°. The asymmetric unit holds Re at (0.0000, 0.0000, 0.0000), Re at (0.2500, 0.2500, 0.2500), P at (0.2500, 0.2500, 0.7500) and Pt at (0.0000, 0.0000, 0.5000).

The total moment comes out at 0.00 μB/f.u. The formation energy comes out at 247 kJ/mol of formula units. As for the total energy: -55.056 eV/atom.

---

Here is a PBEsol-optimized structure of Re2PPt from Alexandria. Energies are from meta-GGA SCAN.

It has space group Cmm2 (No. 35), with a = 2.8368 Å, b = 4.6780 Å, c = 8.7963 Å, α = 90.00°, β = 90.00° and γ = 90.00°. The asymmetric unit holds Re at (0.0000, 0.0000, 0.0000), Re at (0.0000, 0.5000, 0.2515), P at (0.0000, 0.5000, 0.7691) and Pt at (0.0000, 0.0000, 0.5225).

The total moment comes out at 0.00 μB/f.u. The formation energy comes out at 164 kJ/mol of formula units. As for the total energy: -55.271 eV/atom.

---

Which formula does entry 3 have? Re2PPt

---

What is the formula in the first record? RbPRuPt2

---

Which formula does entry 3 have? Re2PPt

---

Number 3 is which compound? Re2PPt